Record 1
## LaHgSbF2 (GGA-PBE)

Data for LaHgSbF2 after structural relaxation.

a b c (Å): 4.482 6.918 4.482
angles (deg): 90.00 90.00 90.00
Atoms (fractional coordinates):
Sb 0.500 0.500 0.500
F 0.500 0.000 0.000
F 0.000 0.000 0.500
Hg 0.000 0.500 0.000
La 0.000 0.000 0.000

Calculated values
Symmetry: P4/mmm
Total DFT energy (no corrections) (eV for the cell shown): -23.334
Fermi-level density of states (states/eV/cell): 2.07

---

Record 2
## LaTa2HgF (GGA-PBE)

Data for LaTa2HgF after structural relaxation.

a b c (Å): 4.475 5.039 4.475
angles (deg): 90.00 90.00 90.00
Atoms (fractional coordinates):
Ta 0.500 0.000 0.000
Ta 0.000 0.000 0.500
F 0.000 0.000 0.000
Hg 0.500 0.500 0.500
La 0.000 0.500 0.000

Calculated values
Symmetry: P4/mmm
Total DFT energy (no corrections) (eV for the cell shown): -30.379
Fermi-level density of states (states/eV/cell): 4.32

---

Record 3
## LaTaHgF2 (GGA-PBE)

Data for LaTaHgF2 after structural relaxation.

a b c (Å): 4.470 6.797 4.470
angles (deg): 90.00 90.00 90.00
Atoms (fractional coordinates):
Ta 0.000 0.500 0.000
La 0.000 0.000 0.000
Hg 0.500 0.500 0.500
F 0.000 0.000 0.500
F 0.500 0.000 0.000

Calculated values
Symmetry: P4/mmm
Total DFT energy (no corrections) (eV for the cell shown): -26.961
Fermi-level density of states (states/eV/cell): 1.21

---

Question: Number 2 is which compound?
Answer: LaTa2HgF

---

Question: Look up the Fermi-level density of states of the first one.
Answer: 2.07 states/eV/cell